No. 1
# Li2Ca5Au12 | Alexandria via LeMat-Bulk | PBE | relaxed
# ΔH_f (0 K): -626 meV per atom
data_Li2Ca5Au12
_chemical_formula_sum 'Li4 Ca10 Au24'
_symmetry_space_group_name_H-M 'C 1 2/m 1'
_symmetry_Int_Tables_number 12
_cell_length_a 15.363
_cell_length_b 7.533
_cell_length_c 7.059
_cell_angle_alpha 90.00
_cell_angle_beta 92.67
_cell_angle_gamma 90.00
loop_
_symmetry_equiv_pos_as_xyz
'x,y,z'
'-x,-y,-z'
'-x,y,-z'
'x,-y,z'
'x+1/2,y+1/2,z'
'-x+1/2,-y+1/2,-z'
'-x+1/2,y+1/2,-z'
'x+1/2,-y+1/2,z'
loop_
_atom_site_label
_atom_site_type_symbol
_atom_site_fract_x
_atom_site_fract_y
_atom_site_fract_z
_atom_site_occupancy
Li1 Li 0.000 0.227 0.000 1
Ca1 Ca 0.000 0.500 0.500 1
Ca2 Ca 0.193 0.000 0.042 1
Ca3 Ca 0.247 0.500 0.435 1
Au1 Au 0.053 0.000 0.709 1
Au2 Au 0.106 0.199 0.349 1
Au3 Au 0.114 0.500 0.102 1
Au4 Au 0.147 0.313 0.754 1

=====

No. 2
# YPaSe4 | Alexandria via LeMat-Bulk | PBE | relaxed
# Uncorrected formation energy: -1.56 eV/atom
data_YPaSe4
_chemical_formula_sum 'Y2 Pa2 Se8'
_symmetry_space_group_name_H-M 'C 1 2/m 1'
_symmetry_Int_Tables_number 12
_cell_length_a 15.354
_cell_length_b 4.193
_cell_length_c 7.119
_cell_angle_alpha 90.00
_cell_angle_beta 117.12
_cell_angle_gamma 90.00
loop_
_symmetry_equiv_pos_as_xyz
'x,y,z'
'-x,-y,-z'
'-x,y,-z'
'x,-y,z'
'x+1/2,y+1/2,z'
'-x+1/2,-y+1/2,-z'
'-x+1/2,y+1/2,-z'
'x+1/2,-y+1/2,z'
loop_
_atom_site_label
_atom_site_type_symbol
_atom_site_fract_x
_atom_site_fract_y
_atom_site_fract_z
_atom_site_occupancy
Y1 Y 0.000 0.000 0.000 1
Pa1 Pa 0.000 0.500 0.500 1
Se1 Se 0.111 0.500 0.286 1
Se2 Se 0.112 0.000 0.765 1

=====

No. 3
# NaCa3Zn | Alexandria via LeMat-Bulk | PBE | relaxed
# ΔH_f (0 K): 575 meV per atom
data_NaCa3Zn
_chemical_formula_sum 'Na1 Ca3 Zn1'
_symmetry_space_group_name_H-M 'P m -3 m'
_symmetry_Int_Tables_number 221
_symmetry_space_group_name_Hall '-P 4 2 3'
_cell_length_a 5.997
_cell_length_b 5.997
_cell_length_c 5.997
_cell_angle_alpha 90.00
_cell_angle_beta 90.00
_cell_angle_gamma 90.00
loop_
_atom_site_label
_atom_site_type_symbol
_atom_site_fract_x
_atom_site_fract_y
_atom_site_fract_z
_atom_site_occupancy
Na1 Na 0.000 0.000 0.000 1
Ca1 Ca 0.000 0.000 0.500 1
Zn1 Zn 0.500 0.500 0.500 1